1.
Below is crystalline Rb2SnB at its relaxed geometry, with properties calculated at the GGA-PBE level.

## Properties
Its space group is Fm-3m, No. 225.

Cell: 5.9161 5.9161 5.9161 Å, 60.00 60.00 60.00°
Sites, in units of the cell vectors:
B 0.0000 0.0000 0.0000
Rb 0.2500 0.2500 0.2500
Rb 0.7500 0.7500 0.7500
Sn 0.5000 0.5000 0.5000

=====

2.
Below is crystalline LaTm3P4 at its relaxed geometry, with properties calculated at the GGA-PBE level.

## Properties
Its space group is Cmmm, No. 65.

Cell: 4.0359 6.9841 6.9841 Å, 70.58 90.00 90.00°
Sites, in units of the cell vectors:
Tm 0.5000 0.0001 0.5000
P 0.0000 0.7621 0.7380
P 0.4999 0.7558 0.2557
P 0.5001 0.2444 0.7442
P 0.0000 0.2382 0.2619
La 0.5000 0.5001 0.0000
Tm 0.0000 0.5001 0.5000
Tm 0.0000 0.0001 0.0000

=====

3.
Below is crystalline LiTb4Ho3S8 at its relaxed geometry, with properties calculated at the GGA-PBE level.

## Properties
The value obtained for the uncorrected formation energy is -1964 meV/atom. Its space group is R-3m, No. 166.

Cell: 7.7833 7.7927 7.7836 Å, 119.97 120.00 90.00°
Sites, in units of the cell vectors:
Ho 0.5000 0.5000 0.5000
Tb 0.0000 0.0000 0.5000
Ho 0.0000 0.5000 0.5000
Tb 0.5000 0.0000 0.5000
S 0.2472 0.2582 0.0027
S 0.2513 0.2540 0.5026
Tb 0.5000 0.0000 0.0000
Tb 0.0000 0.0000 0.0000
S 0.7487 0.7460 0.4974
Ho 0.5000 0.5000 0.0000
S 0.7555 0.2581 0.5110
S 0.2445 0.7418 0.9973
Li 0.0000 0.5000 0.0000
S 0.2445 0.7419 0.4890
S 0.7555 0.2582 0.0027
S 0.7528 0.7418 0.9973

=====

4.
Below is crystalline KHf3Sc at its relaxed geometry, with properties calculated at the GGA-PBE level.

## Properties
Its space group is Pm-3m, No. 221.

Cell: 4.9634 4.9634 4.9634 Å, 90.00 90.00 90.00°
Sites, in units of the cell vectors:
K 0.0000 0.0000 0.0000
Hf 0.0000 0.5000 0.0000
Sc 0.5000 0.5000 0.5000
Hf 0.5000 0.0000 0.0000
Hf 0.0000 0.0000 0.5000

=====

5.
Below is crystalline TePBr2 at its relaxed geometry, with properties calculated at the GGA-PBE level.

## Properties
The value obtained for the uncorrected formation energy is -29 meV/atom. Its space group is Cm, No. 8.

Cell: 4.7938 4.7938 8.6593 Å, 102.80 102.80 48.33°
Sites, in units of the cell vectors:
Te 0.7378 0.7378 0.7010
P 0.3717 0.3717 0.5769
Br 0.1064 0.1064 0.9090
Br 0.2841 0.2841 0.3131

=====

6.
Below is crystalline Al2Co2Te at its relaxed geometry, with properties calculated at the GGA-PBE level.

## Properties
The value obtained for the uncorrected formation energy is -124 meV/atom. Its space group is P4/mbm, No. 127.

Cell: 7.1145 7.1145 2.8893 Å, 90.00 90.00 90.00°
Sites, in units of the cell vectors:
Co 0.6549 0.1549 0.0000
Co 0.1549 0.3451 0.0000
Al 0.3644 0.1356 0.5000
Te 0.0000 0.0000 0.0000
Al 0.6356 0.8644 0.5000
Al 0.8644 0.3644 0.5000
Co 0.3451 0.8451 0.0000
Co 0.8451 0.6549 0.0000
Al 0.1356 0.6356 0.5000
Te 0.5000 0.5000 0.0000

=====

7.
Below is crystalline ReRh2W at its relaxed geometry, with properties calculated at the GGA-PBE level.

## Properties
Its space group is R-3m, No. 166.

Cell: 9.1432 9.1432 9.1432 Å, 17.36 17.36 17.36°
Sites, in units of the cell vectors:
Rh 0.2509 0.2509 0.2509
Re 0.0000 0.0000 0.0000
W 0.5000 0.5000 0.5000
Rh 0.7491 0.7491 0.7491

=====

8.
Below is crystalline ThInPtN at its relaxed geometry, with properties calculated at the GGA-PBE level.

## Properties
The value obtained for the uncorrected formation energy is -1010 meV/atom. Its space group is P4/nmm, No. 129.

Cell: 4.3133 4.3133 8.7348 Å, 90.00 90.00 90.00°
Sites, in units of the cell vectors:
Pt 0.5000 0.0000 0.6888
Pt 0.0000 0.5000 0.3112
In 0.5000 0.5000 0.5000
N 0.5000 0.5000 0.0000
N 0.0000 0.0000 0.0000
In 0.0000 0.0000 0.5000
Th 0.0000 0.5000 0.8796
Th 0.5000 0.0000 0.1204

=====

9.
Below is crystalline CeTiO2 at its relaxed geometry, with properties calculated at the GGA-PBE level.

## Properties
The value obtained for the uncorrected formation energy is -2315 meV/atom. Its space group is R-3m, No. 166.

Cell: 3.2317 3.2317 6.6935 Å, 76.03 76.03 60.00°
Sites, in units of the cell vectors:
Ce 0.0000 0.0000 0.0000
O 0.8814 0.8814 0.3558
Ti 0.5000 0.5000 0.5000
O 0.1186 0.1186 0.6442

=====

10.
Below is crystalline CeSmCu at its relaxed geometry, with properties calculated at the GGA-PBE level.

## Properties
Its space group is C2/m, No. 12.

Cell: 5.5966 5.5966 7.6137 Å, 126.96 126.96 53.72°
Sites, in units of the cell vectors:
Sm 0.7322 0.7322 0.8135
Sm 0.2678 0.2678 0.1865
Ce 0.6209 0.6209 0.2352
Cu 0.9958 0.9958 0.6607
Cu 0.0042 0.0042 0.3393
Ce 0.3791 0.3791 0.7648

=====

11.
Below is crystalline DyErP2 at its relaxed geometry, with properties calculated at the GGA-PBE level.

## Properties
Its space group is R-3m, No. 166.

Cell: 3.9886 3.9886 6.9032 Å, 73.19 73.19 60.02°
Sites, in units of the cell vectors:
Dy 0.0000 0.0000 0.0000
P 0.2492 0.2492 0.2524
Er 0.5000 0.5000 0.5000
P 0.7508 0.7508 0.7476

=====

12.
Below is crystalline KHfPS2 at its relaxed geometry, with properties calculated at the GGA-PBE level.

## Properties
The value obtained for the uncorrected formation energy is 1374 meV/atom. Its space group is P4/mmm, No. 123.

Cell: 5.0245 5.0245 4.9112 Å, 90.00 90.00 90.00°
Sites, in units of the cell vectors:
S 0.0000 0.5000 0.0000
K 0.0000 0.0000 0.0000
P 0.0000 0.0000 0.5000
S 0.5000 0.0000 0.0000
Hf 0.5000 0.5000 0.5000

=====

| no. | energy (eV per atom) |
| --- | --- |
| 1 | -1.99 |
| 2 | -6.57 |
| 3 | -6.16 |
| 4 | -5.55 |
| 5 | -3.00 |
| 6 | -5.09 |
| 7 | -10.05 |
| 8 | -7.14 |
| 9 | -8.25 |
| 10 | -4.92 |
| 11 | -6.61 |
| 12 | -3.57 |